No. 1
# PBE Mo2RuCl, relaxed
data_Mo2RuCl
_chemical_formula_sum 'Mo2 Ru1 Cl1'
_space_group_name_H-M_alt 'P 4 m m'
_space_group_IT_number 99
_space_group_name_Hall 'P 4 -2'
_cell_length_a 2.891
_cell_length_b 2.891
_cell_length_c 7.554
_cell_angle_alpha 90.00
_cell_angle_beta 90.00
_cell_angle_gamma 90.00
loop_
_atom_site_label
_atom_site_type_symbol
_atom_site_fract_x
_atom_site_fract_y
_atom_site_fract_z
Mo1 Mo 0.000 0.000 0.000
Mo2 Mo 0.500 0.500 0.266
Ru1 Ru 0.000 0.000 0.482
Cl1 Cl 0.500 0.500 0.774
# Uncorrected formation energy: 0.3058 eV per atom
# DOS at the Fermi energy: 3.1 states/eV/f.u.
# Distance to the lowest polymorph of the same formula: 88 meV per atom
# Magnetization: 0.000 μB per atom


No. 2
# PBE LiY2Ti, relaxed
data_LiY2Ti
_chemical_formula_sum 'Li4 Y8 Ti4'
_space_group_name_H-M_alt 'F m -3 m'
_space_group_IT_number 225
_space_group_name_Hall '-F 4 2 3'
_cell_length_a 7.363
_cell_length_b 7.363
_cell_length_c 7.363
_cell_angle_alpha 90.00
_cell_angle_beta 90.00
_cell_angle_gamma 90.00
loop_
_atom_site_label
_atom_site_type_symbol
_atom_site_fract_x
_atom_site_fract_y
_atom_site_fract_z
Li1 Li 0.000 0.000 0.000
Y1 Y 0.250 0.250 0.250
Ti1 Ti 0.000 0.000 0.500
# DOS at the Fermi energy: 8.8 states/eV/f.u.
# Energy of formation: 0.260 eV/atom
# Distance to the lowest polymorph of the same formula: 107 meV per atom
# Magnetization: 0.530 μB per atom


No. 3
# PBE InGaHg, relaxed
data_InGaHg
_chemical_formula_sum 'In2 Ga2 Hg2'
_space_group_name_H-M_alt 'P 63/m m c'
_space_group_IT_number 194
_space_group_name_Hall '-P 6c 2c'
_cell_length_a 5.1350
_cell_length_b 5.1350
_cell_length_c 6.4042
_cell_angle_alpha 90.00
_cell_angle_beta 90.00
_cell_angle_gamma 120.00
loop_
_atom_site_label
_atom_site_type_symbol
_atom_site_fract_x
_atom_site_fract_y
_atom_site_fract_z
In1 In 0.3333 0.6667 0.2500
Ga1 Ga 0.3333 0.6667 0.7500
Hg1 Hg 0.0000 0.0000 0.0000
# DOS at the Fermi energy: 1.4 states/eV/f.u.
# Energy of formation: 0.089 eV/atom
# Magnetization: 0.000 μB per atom


No. 4
# PBE TlCdCoPb2, relaxed
data_TlCdCoPb2
_chemical_formula_sum 'Tl1 Cd1 Co1 Pb2'
_space_group_name_H-M_alt 'P 4/m m m'
_space_group_IT_number 123
_space_group_name_Hall '-P 4 2'
_cell_length_a 5.071
_cell_length_b 5.071
_cell_length_c 5.185
_cell_angle_alpha 90.00
_cell_angle_beta 90.00
_cell_angle_gamma 90.00
loop_
_atom_site_label
_atom_site_type_symbol
_atom_site_fract_x
_atom_site_fract_y
_atom_site_fract_z
Tl1 Tl 0.000 0.000 0.000
Cd1 Cd 0.500 0.500 0.000
Co1 Co 0.500 0.500 0.500
Pb1 Pb 0.000 0.500 0.500
# DOS at the Fermi energy: 3.6 states/eV/f.u.
# Energy of formation: 0.176 eV/atom
# Distance to the lowest polymorph of the same formula: 0 meV per atom
# Magnetization: 0.081 μB per atom


No. 5
# PBE PrSm4Ga, relaxed
data_PrSm4Ga
_chemical_formula_sum 'Pr4 Sm16 Ga4'
_space_group_name_H-M_alt 'C 1 2/c 1'
_space_group_IT_number 15
_space_group_name_Hall '-C 2yc'
_cell_length_a 9.040
_cell_length_b 13.872
_cell_length_c 6.383
_cell_angle_alpha 90.00
_cell_angle_beta 109.64
_cell_angle_gamma 90.00
loop_
_atom_site_label
_atom_site_type_symbol
_atom_site_fract_x
_atom_site_fract_y
_atom_site_fract_z
Pr1 Pr 0.000 0.109 0.250
Sm1 Sm 0.102 0.321 0.556
Sm2 Sm 0.222 0.101 0.867
Ga1 Ga 0.000 0.499 0.250
# DOS at the Fermi energy: 8.8 states/eV/f.u.
# Energy of formation: -0.109 eV/atom
# Distance to the lowest polymorph of the same formula: 56 meV per atom
# Magnetization: 0.000 μB per atom


No. 6
# PBE LaTaFe, relaxed
data_LaTaFe
_chemical_formula_sum 'La2 Ta2 Fe2'
_space_group_name_H-M_alt 'I 4 m m'
_space_group_IT_number 107
_space_group_name_Hall 'I 4 -2'
_cell_length_a 3.204
_cell_length_b 3.204
_cell_length_c 12.054
_cell_angle_alpha 90.00
_cell_angle_beta 90.00
_cell_angle_gamma 90.00
loop_
_atom_site_label
_atom_site_type_symbol
_atom_site_fract_x
_atom_site_fract_y
_atom_site_fract_z
La1 La 0.000 0.000 0.000
Ta1 Ta 0.000 0.000 0.282
Fe1 Fe 0.000 0.000 0.694
# DOS at the Fermi energy: 3.8 states/eV/f.u.
# Energy of formation: 0.218 eV/atom
# Distance to the lowest polymorph of the same formula: 0 meV per atom
# Magnetization: 0.187 μB per atom


No. 7
# PBE Tb4Sm4Ho5, relaxed
data_Tb4Sm4Ho5
_chemical_formula_sum 'Tb8 Sm8 Ho10'
_space_group_name_H-M_alt 'I 4/m'
_space_group_IT_number 87
_space_group_name_Hall '-I 4'
_cell_length_a 12.873
_cell_length_b 12.873
_cell_length_c 5.030
_cell_angle_alpha 90.00
_cell_angle_beta 90.00
_cell_angle_gamma 90.00
loop_
_atom_site_label
_atom_site_type_symbol
_atom_site_fract_x
_atom_site_fract_y
_atom_site_fract_z
Tb1 Tb 0.153 0.230 0.000
Sm1 Sm 0.078 0.617 0.000
Ho1 Ho 0.000 0.000 0.000
Ho2 Ho 0.039 0.810 0.500
# DOS at the Fermi energy: 17.4 states/eV/f.u.
# Energy of formation: 0.016 eV/atom
# Magnetization: 0.000 μB per atom


No. 8
# PBE TaCrP2, relaxed
data_TaCrP2
_chemical_formula_sum 'Ta2 Cr2 P4'
_space_group_name_H-M_alt 'I m m 2'
_space_group_IT_number 44
_space_group_name_Hall 'I 2 -2'
_cell_length_a 3.177
_cell_length_b 3.255
_cell_length_c 10.968
_cell_angle_alpha 90.00
_cell_angle_beta 90.00
_cell_angle_gamma 90.00
loop_
_atom_site_label
_atom_site_type_symbol
_atom_site_fract_x
_atom_site_fract_y
_atom_site_fract_z
Ta1 Ta 0.000 0.000 0.000
Cr1 Cr 0.000 0.500 0.746
P1 P 0.000 0.000 0.407
P2 P 0.000 0.500 0.175
# DOS at the Fermi energy: 1.8 states/eV/f.u.
# Energy of formation: -0.644 eV/atom
# Distance to the lowest polymorph of the same formula: 0 meV per atom
# Magnetization: 0.000 μB per atom


Taking the records one at a time from the top gives mass density values of 8.64 3.87 8.75 9.84 7.15 10.08 8.21 8.64 g cm⁻³.
Taking the records one at a time from the top gives calculated volume values of 15.78 24.94 24.37 26.67 31.41 20.63 32.06 14.18 A^3/atom.